(1)
First-principles (PBE) data for crystalline LaZrPt2 at its relaxed geometry, as listed in Alexandria via LeMat-Bulk.

Properties
Its formation enthalpy at 0 K is -1.02 eV/atom. The calculation puts the density at 11.60 g cm⁻³. As for the energy: -7.41 eV/atom.

Cell and atoms, written as CIF:
```
data_LaZrPt2
_chemical_formula_sum 'La1 Zr1 Pt2'
_space_group_name_H-M_alt 'P 1 m 1'
_space_group_IT_number 6
_cell_length_a 3.682
_cell_length_b 4.456
_cell_length_c 5.711
_cell_angle_alpha 90.00
_cell_angle_beta 108.64
_cell_angle_gamma 90.00
loop_
_space_group_symop_operation_xyz
'x,y,z'
'x,-y,z'
loop_
_atom_site_label
_atom_site_type_symbol
_atom_site_fract_x
_atom_site_fract_y
_atom_site_fract_z
La1 La 0.000 0.000 0.000
Zr1 Zr 0.278 0.500 0.556
Pt1 Pt 0.550 0.500 0.102
Pt2 Pt 0.734 0.000 0.470
```

(2)
First-principles (PBE) data for crystalline Zr2CrAu at its relaxed geometry, as listed in Alexandria via LeMat-Bulk.

Properties
Its relative energy among the computed polymorphs is 75 meV per atom. Its formation enthalpy at 0 K is -0.12 eV/atom. The calculation puts the density at 9.17 g cm⁻³. As for the energy: -7.62 eV/atom.

Cell and atoms, written as CIF:
```
data_Zr2CrAu
_chemical_formula_sum 'Zr2 Cr1 Au1'
_space_group_name_H-M_alt 'P 1 m 1'
_space_group_IT_number 6
_cell_length_a 3.246
_cell_length_b 4.571
_cell_length_c 5.341
_cell_angle_alpha 90.00
_cell_angle_beta 99.69
_cell_angle_gamma 90.00
loop_
_space_group_symop_operation_xyz
'x,y,z'
'x,-y,z'
loop_
_atom_site_label
_atom_site_type_symbol
_atom_site_fract_x
_atom_site_fract_y
_atom_site_fract_z
Zr1 Zr 0.000 0.000 0.000
Zr2 Zr 0.219 0.500 0.603
Cr1 Cr 0.652 0.000 0.476
Au1 Au 0.563 0.500 0.143
```

(3)
First-principles (PBE) data for crystalline InBiSb at its relaxed geometry, as listed in Alexandria via LeMat-Bulk.

Properties
Its relative energy among the computed polymorphs is 14 meV per atom. The calculation puts the density at 7.83 g cm⁻³. The uncorrected formation energy is 0.058 eV/atom. As for the energy: -3.52 eV/atom.

Cell and atoms, written as CIF:
```
data_InBiSb
_chemical_formula_sum 'In1 Bi1 Sb1'
_space_group_name_H-M_alt 'P 3 m 1'
_space_group_IT_number 156
_cell_length_a 4.3766
_cell_length_b 4.3766
_cell_length_c 5.6970
_cell_angle_alpha 90.00
_cell_angle_beta 90.00
_cell_angle_gamma 120.00
loop_
_space_group_symop_operation_xyz
'x,y,z'
'-y,x-y,z'
'-x+y,-x,z'
'-y,-x,z'
'-x+y,y,z'
'x,x-y,z'
loop_
_atom_site_label
_atom_site_type_symbol
_atom_site_fract_x
_atom_site_fract_y
_atom_site_fract_z
In1 In 0.0000 0.0000 0.0000
Bi1 Bi 0.6667 0.3333 0.3605
Sb1 Sb 0.3333 0.6667 0.6897
```

(4)
First-principles (PBE) data for crystalline PmYCdIr at its relaxed geometry, as listed in Alexandria via LeMat-Bulk.

Properties
Its formation enthalpy at 0 K is -0.49 eV/atom. The calculation puts the density at 9.47 g cm⁻³. As for the energy: -5.74 eV/atom.

Cell and atoms, written as CIF:
```
data_PmYCdIr
_chemical_formula_sum 'Pm4 Y4 Cd4 Ir4'
_space_group_name_H-M_alt 'F -4 3 m'
_space_group_IT_number 216
_space_group_name_Hall 'F -4 2 3'
_cell_length_a 7.228
_cell_length_b 7.228
_cell_length_c 7.228
_cell_angle_alpha 90.00
_cell_angle_beta 90.00
_cell_angle_gamma 90.00
loop_
_atom_site_label
_atom_site_type_symbol
_atom_site_fract_x
_atom_site_fract_y
_atom_site_fract_z
Pm1 Pm 0.000 0.000 0.000
Y1 Y 0.000 0.000 0.500
Cd1 Cd 0.250 0.250 0.750
Ir1 Ir 0.250 0.250 0.250
```

(5)
First-principles (PBE) data for crystalline FeTcCl2 at its relaxed geometry, as listed in Alexandria via LeMat-Bulk.

Properties
Its relative energy among the computed polymorphs is 595 meV per atom. The calculation puts the density at 5.69 g cm⁻³. The uncorrected formation energy is 0.514 eV/atom. As for the energy: -5.12 eV/atom.

Cell and atoms, written as CIF:
```
data_FeTcCl2
_chemical_formula_sum 'Fe1 Tc1 Cl2'
_space_group_name_H-M_alt 'P 1 2/m 1'
_space_group_IT_number 10
_cell_length_a 2.934
_cell_length_b 4.018
_cell_length_c 5.732
_cell_angle_alpha 90.00
_cell_angle_beta 103.74
_cell_angle_gamma 90.00
loop_
_space_group_symop_operation_xyz
'x,y,z'
'-x,-y,-z'
'-x,y,-z'
'x,-y,z'
loop_
_atom_site_label
_atom_site_type_symbol
_atom_site_fract_x
_atom_site_fract_y
_atom_site_fract_z
Fe1 Fe 0.000 0.000 0.000
Tc1 Tc 0.000 0.000 0.500
Cl1 Cl 0.134 0.500 0.754
```

(6)
First-principles (PBE) data for crystalline CaZnAs2 at its relaxed geometry, as listed in Alexandria via LeMat-Bulk.

Properties
Its formation enthalpy at 0 K is -0.55 eV/atom. The calculation puts the density at 4.68 g cm⁻³. As for the energy: -3.70 eV/atom.

Cell and atoms, written as CIF:
```
data_CaZnAs2
_chemical_formula_sum 'Ca2 Zn2 As4'
_space_group_name_H-M_alt 'C 1 m 1'
_space_group_IT_number 8
_cell_length_a 11.197
_cell_length_b 4.159
_cell_length_c 4.176
_cell_angle_alpha 90.00
_cell_angle_beta 111.15
_cell_angle_gamma 90.00
loop_
_space_group_symop_operation_xyz
'x,y,z'
'x,-y,z'
'x+1/2,y+1/2,z'
'x+1/2,-y+1/2,z'
loop_
_atom_site_label
_atom_site_type_symbol
_atom_site_fract_x
_atom_site_fract_y
_atom_site_fract_z
Ca1 Ca 0.000 0.000 0.000
Zn1 Zn 0.260 0.000 0.716
As1 As 0.136 0.500 0.737
As2 As 0.399 0.000 0.361
```

(7)
First-principles (PBE) data for crystalline Ho2Th8Sc3 at its relaxed geometry, as listed in Alexandria via LeMat-Bulk.

Properties
Its formation enthalpy at 0 K is 0.24 eV/atom. The calculation puts the density at 9.58 g cm⁻³. As for the energy: -6.49 eV/atom.

Cell and atoms, written as CIF:
```
data_Ho2Th8Sc3
_chemical_formula_sum 'Ho4 Th16 Sc6'
_space_group_name_H-M_alt 'C 1 2/m 1'
_space_group_IT_number 12
_cell_length_a 12.901
_cell_length_b 11.394
_cell_length_c 5.850
_cell_angle_alpha 90.00
_cell_angle_beta 110.58
_cell_angle_gamma 90.00
loop_
_space_group_symop_operation_xyz
'x,y,z'
'-x,-y,-z'
'-x,y,-z'
'x,-y,z'
'x+1/2,y+1/2,z'
'-x+1/2,-y+1/2,-z'
'-x+1/2,y+1/2,-z'
'x+1/2,-y+1/2,z'
loop_
_atom_site_label
_atom_site_type_symbol
_atom_site_fract_x
_atom_site_fract_y
_atom_site_fract_z
Ho1 Ho 0.196 0.000 0.362
Th1 Th 0.070 0.000 0.793
Th2 Th 0.145 0.500 0.083
Th3 Th 0.167 0.254 0.669
Sc1 Sc 0.000 0.247 0.000
Sc2 Sc 0.000 0.500 0.500
```

(8)
First-principles (PBE) data for crystalline NiAg2P at its relaxed geometry, as listed in Alexandria via LeMat-Bulk.

Properties
Its formation enthalpy at 0 K is 0.09 eV/atom. The calculation puts the density at 8.21 g cm⁻³. As for the energy: -4.13 eV/atom.

Cell and atoms, written as CIF:
```
data_NiAg2P
_chemical_formula_sum 'Ni1 Ag2 P1'
_space_group_name_H-M_alt 'P 1 m 1'
_space_group_IT_number 6
_cell_length_a 3.081
_cell_length_b 3.922
_cell_length_c 5.333
_cell_angle_alpha 90.00
_cell_angle_beta 106.68
_cell_angle_gamma 90.00
loop_
_space_group_symop_operation_xyz
'x,y,z'
'x,-y,z'
loop_
_atom_site_label
_atom_site_type_symbol
_atom_site_fract_x
_atom_site_fract_y
_atom_site_fract_z
Ni1 Ni 0.000 0.000 0.000
Ag1 Ag 0.373 0.500 0.747
Ag2 Ag 0.724 0.000 0.450
P1 P 0.095 0.500 0.190
```

(9)
First-principles (PBE) data for crystalline ZrCu at its relaxed geometry, as listed in Alexandria via LeMat-Bulk.

Properties
Its formation enthalpy at 0 K is 0.25 eV/atom. The calculation puts the density at 6.78 g cm⁻³. As for the energy: -6.07 eV/atom.

Cell and atoms, written as CIF:
```
data_ZrCu
_chemical_formula_sum 'Zr6 Cu6'
_space_group_name_H-M_alt 'P 63/m'
_space_group_IT_number 176
_space_group_name_Hall '-P 6c'
_cell_length_a 9.3534
_cell_length_b 9.3534
_cell_length_c 2.9999
_cell_angle_alpha 90.00
_cell_angle_beta 90.00
_cell_angle_gamma 120.00
loop_
_atom_site_label
_atom_site_type_symbol
_atom_site_fract_x
_atom_site_fract_y
_atom_site_fract_z
Zr1 Zr 0.1312 0.6481 0.2500
Cu1 Cu 0.0346 0.2269 0.2500
```